# 1
# ReSnPd3 GGA-PBE relaxed
# ΔH_f (0 K), meV per atom: 996.7
# N(E_F), states/eV per cell: 4.7
# Crystal system: cubic
# Raw total energy, eV/atom: -5.409
data_ReSnPd3
_chemical_formula_sum 'Re1 Sn1 Pd3'
_space_group_name_H-M_alt 'P m -3 m'
_space_group_IT_number 221
_space_group_name_Hall '-P 4 2 3'
_cell_length_a 4.845
_cell_length_b 4.845
_cell_length_c 4.845
_cell_angle_alpha 90.00
_cell_angle_beta 90.00
_cell_angle_gamma 90.00
loop_
_atom_site_label
_atom_site_type_symbol
_atom_site_fract_x
_atom_site_fract_y
_atom_site_fract_z
Re1 Re 0.000 0.000 0.000
Sn1 Sn 0.500 0.500 0.500
Pd1 Pd 0.000 0.000 0.500

# 2
# LuInPd2 GGA-PBE relaxed
# ΔH_f (0 K), meV per atom: -854.5
# N(E_F), states/eV per cell: 6.7
# Crystal system: cubic
# Raw total energy, eV/atom: -5.266
data_LuInPd2
_chemical_formula_sum 'Lu4 In4 Pd8'
_space_group_name_H-M_alt 'F m -3 m'
_space_group_IT_number 225
_space_group_name_Hall '-F 4 2 3'
_cell_length_a 6.712
_cell_length_b 6.712
_cell_length_c 6.712
_cell_angle_alpha 90.00
_cell_angle_beta 90.00
_cell_angle_gamma 90.00
loop_
_atom_site_label
_atom_site_type_symbol
_atom_site_fract_x
_atom_site_fract_y
_atom_site_fract_z
Lu1 Lu 0.000 0.000 0.000
In1 In 0.000 0.000 0.500
Pd1 Pd 0.250 0.250 0.250

# 3
# CaYPu2Te4 GGA-PBE relaxed
# N(E_F), states/eV per cell: 22.5
# Crystal system: monoclinic
# Raw total energy, eV/atom: -7.488
# Energy relative to the elements, uncorrected, eV per atom: -1.28
data_CaYPu2Te4
_chemical_formula_sum 'Ca1 Y1 Pu2 Te4'
_space_group_name_H-M_alt 'P 1 2/m 1'
_space_group_IT_number 10
_space_group_name_Hall '-P 2y'
_cell_length_a 7.690
_cell_length_b 4.425
_cell_length_c 7.691
_cell_angle_alpha 90.00
_cell_angle_beta 109.32
_cell_angle_gamma 90.00
loop_
_atom_site_label
_atom_site_type_symbol
_atom_site_fract_x
_atom_site_fract_y
_atom_site_fract_z
Ca1 Ca 0.000 0.000 0.000
Y1 Y 0.000 0.500 0.500
Pu1 Pu 0.500 0.000 0.500
Pu2 Pu 0.500 0.500 0.000
Te1 Te 0.246 0.000 0.747
Te2 Te 0.248 0.500 0.252

# 4
# GaGe3P GGA-PBE relaxed
# ΔH_f (0 K), meV per atom: 594.1
# N(E_F), states/eV per cell: 2.3
# Crystal system: cubic
# Raw total energy, eV/atom: -3.864
data_GaGe3P
_chemical_formula_sum 'Ga1 Ge3 P1'
_space_group_name_H-M_alt 'P m -3 m'
_space_group_IT_number 221
_space_group_name_Hall '-P 4 2 3'
_cell_length_a 4.826
_cell_length_b 4.826
_cell_length_c 4.826
_cell_angle_alpha 90.00
_cell_angle_beta 90.00
_cell_angle_gamma 90.00
loop_
_atom_site_label
_atom_site_type_symbol
_atom_site_fract_x
_atom_site_fract_y
_atom_site_fract_z
Ga1 Ga 0.000 0.000 0.000
Ge1 Ge 0.000 0.500 0.500
P1 P 0.500 0.500 0.500

# 5
# PmNdDy2Sc GGA-PBE relaxed
# ΔH_f (0 K), meV per atom: 36.4
# N(E_F), states/eV per cell: 18.7
# Crystal system: monoclinic
# Raw total energy, eV/atom: -4.974
data_PmNdDy2Sc
_chemical_formula_sum 'Pm2 Nd2 Dy4 Sc2'
_space_group_name_H-M_alt 'P 1 21/m 1'
_space_group_IT_number 11
_space_group_name_Hall '-P 2yb'
_cell_length_a 6.226
_cell_length_b 5.649
_cell_length_c 9.484
_cell_angle_alpha 90.00
_cell_angle_beta 108.93
_cell_angle_gamma 90.00
loop_
_atom_site_label
_atom_site_type_symbol
_atom_site_fract_x
_atom_site_fract_y
_atom_site_fract_z
Pm1 Pm 0.133 0.250 0.101
Nd1 Nd 0.267 0.750 0.693
Dy1 Dy 0.071 0.750 0.309
Dy2 Dy 0.467 0.750 0.105
Sc1 Sc 0.344 0.250 0.499

# 6
# Dy3Th2Sc3 GGA-PBE relaxed
# ΔH_f (0 K), meV per atom: 44.5
# N(E_F), states/eV per cell: 22.1
# Crystal system: orthorhombic
# Raw total energy, eV/atom: -5.911
data_Dy3Th2Sc3
_chemical_formula_sum 'Dy6 Th4 Sc6'
_space_group_name_H-M_alt 'I m m m'
_space_group_IT_number 71
_space_group_name_Hall '-I 2 2'
_cell_length_a 4.851
_cell_length_b 4.904
_cell_length_c 19.620
_cell_angle_alpha 90.00
_cell_angle_beta 90.00
_cell_angle_gamma 90.00
loop_
_atom_site_label
_atom_site_type_symbol
_atom_site_fract_x
_atom_site_fract_y
_atom_site_fract_z
Dy1 Dy 0.000 0.000 0.000
Dy2 Dy 0.000 0.500 0.124
Th1 Th 0.000 0.000 0.249
Sc1 Sc 0.000 0.000 0.500
Sc2 Sc 0.000 0.500 0.375

# 7
# Hf2CrSCl GGA-PBE relaxed
# N(E_F), states/eV per cell: 4.8
# Crystal system: tetragonal
# Raw total energy, eV/atom: -6.960
# Energy relative to the elements, uncorrected, eV per atom: 0.14
data_Hf2CrSCl
_chemical_formula_sum 'Hf2 Cr1 S1 Cl1'
_space_group_name_H-M_alt 'P 4/m m m'
_space_group_IT_number 123
_space_group_name_Hall '-P 4 2'
_cell_length_a 4.906
_cell_length_b 4.906
_cell_length_c 4.216
_cell_angle_alpha 90.00
_cell_angle_beta 90.00
_cell_angle_gamma 90.00
loop_
_atom_site_label
_atom_site_type_symbol
_atom_site_fract_x
_atom_site_fract_y
_atom_site_fract_z
Hf1 Hf 0.000 0.500 0.000
Cr1 Cr 0.000 0.000 0.000
S1 S 0.000 0.000 0.500
Cl1 Cl 0.500 0.500 0.500

# 8
# Eu2BPd6 GGA-PBE relaxed
# ΔH_f (0 K), meV per atom: -590.9
# N(E_F), states/eV per cell: 31.7
# Crystal system: tetragonal
# Raw total energy, eV/atom: -7.078
data_Eu2BPd6
_chemical_formula_sum 'Eu2 B1 Pd6'
_space_group_name_H-M_alt 'P 4/m m m'
_space_group_IT_number 123
_space_group_name_Hall '-P 4 2'
_cell_length_a 4.334
_cell_length_b 4.334
_cell_length_c 8.297
_cell_angle_alpha 90.00
_cell_angle_beta 90.00
_cell_angle_gamma 90.00
loop_
_atom_site_label
_atom_site_type_symbol
_atom_site_fract_x
_atom_site_fract_y
_atom_site_fract_z
Eu1 Eu 0.000 0.000 0.240
B1 B 0.500 0.500 0.500
Pd1 Pd 0.000 0.500 0.000
Pd2 Pd 0.000 0.500 0.500
Pd3 Pd 0.500 0.500 0.243

# 9
# CsSbPb GGA-PBE relaxed
# N(E_F), states/eV per cell: 4.5
# Crystal system: tetragonal
# Raw total energy, eV/atom: -3.114
# Energy relative to the elements, uncorrected, eV per atom: -0.22
data_CsSbPb
_chemical_formula_sum 'Cs2 Sb2 Pb2'
_space_group_name_H-M_alt 'I 4 m m'
_space_group_IT_number 107
_space_group_name_Hall 'I 4 -2'
_cell_length_a 4.123
_cell_length_b 4.123
_cell_length_c 13.974
_cell_angle_alpha 90.00
_cell_angle_beta 90.00
_cell_angle_gamma 90.00
loop_
_atom_site_label
_atom_site_type_symbol
_atom_site_fract_x
_atom_site_fract_y
_atom_site_fract_z
Cs1 Cs 0.000 0.000 0.000
Sb1 Sb 0.000 0.000 0.697
Pb1 Pb 0.000 0.000 0.291

# 10
# Rb3DyTh3Te8 GGA-PBE relaxed
# N(E_F), states/eV per cell: 27.3
# Crystal system: trigonal
# Raw total energy, eV/atom: -4.895
# Energy relative to the elements, uncorrected, eV per atom: -1.24
data_Rb3DyTh3Te8
_chemical_formula_sum 'Rb9 Dy3 Th9 Te24'
_space_group_name_H-M_alt 'R -3 m'
_space_group_IT_number 166
_space_group_name_Hall '-R 3 2"'
_cell_length_a 8.9498
_cell_length_b 8.9498
_cell_length_c 26.6637
_cell_angle_alpha 90.00
_cell_angle_beta 90.00
_cell_angle_gamma 120.00
loop_
_atom_site_label
_atom_site_type_symbol
_atom_site_fract_x
_atom_site_fract_y
_atom_site_fract_z
Rb1 Rb 0.0000 0.5000 0.0000
Dy1 Dy 0.0000 0.0000 0.5000
Th1 Th 0.0000 0.5000 0.5000
Te1 Te 0.0000 0.0000 0.2369
Te2 Te 0.0031 0.5016 0.2344

# 11
# CuHOs2 GGA-PBE relaxed
# N(E_F), states/eV per cell: 12.5
# Crystal system: tetragonal
# Raw total energy, eV/atom: -6.862
data_CuHOs2
_chemical_formula_sum 'Cu4 H4 Os8'
_space_group_name_H-M_alt 'I -4 2 d'
_space_group_IT_number 122
_space_group_name_Hall 'I -4 2bw'
_cell_length_a 5.989
_cell_length_b 5.989
_cell_length_c 4.991
_cell_angle_alpha 90.00
_cell_angle_beta 90.00
_cell_angle_gamma 90.00
loop_
_atom_site_label
_atom_site_type_symbol
_atom_site_fract_x
_atom_site_fract_y
_atom_site_fract_z
Cu1 Cu 0.000 0.000 0.000
H1 H 0.000 0.000 0.500
Os1 Os 0.158 0.250 0.625

# 12
# LaCdH8Rh2 GGA-PBE relaxed
# N(E_F), states/eV per cell: 7.7
# Crystal system: trigonal
# Raw total energy, eV/atom: -4.114
data_LaCdH8Rh2
_chemical_formula_sum 'La3 Cd3 H24 Rh6'
_space_group_name_H-M_alt 'R -3'
_space_group_IT_number 148
_space_group_name_Hall '-R 3'
_cell_length_a 4.9161
_cell_length_b 4.9161
_cell_length_c 17.1316
_cell_angle_alpha 90.00
_cell_angle_beta 90.00
_cell_angle_gamma 120.00
loop_
_atom_site_label
_atom_site_type_symbol
_atom_site_fract_x
_atom_site_fract_y
_atom_site_fract_z
La1 La 0.0000 0.0000 0.0000
Cd1 Cd 0.0000 0.0000 0.5000
H1 H 0.0000 0.0000 0.3021
H2 H 0.0436 0.2806 0.8821
Rh1 Rh 0.0000 0.0000 0.2011